# 1
Sr2ZnCuP | GGA-PBE | optimized geometry

Cell: 5.835 5.835 4.555 Å, 90.00 90.00 90.00°
Space group P4/mmm (No. 123)
Unique sites:
1 Sr 0.000 0.500 0.000 (multiplicity 2)
2 Zn 0.000 0.000 0.500 (multiplicity 1)
3 Cu 0.500 0.500 0.500 (multiplicity 1)
4 P 0.000 0.000 0.000 (multiplicity 1)

## Properties
**Total energy**: -2.977 eV/atom
**E_form**: -148 meV/atom

# 2
KCd2CO | GGA-PBE | optimized geometry

Cell: 4.271 4.271 5.919 Å, 90.00 90.00 90.00°
Space group P4/mmm (No. 123)
Unique sites:
1 K 0.000 0.000 0.000 (multiplicity 1)
2 Cd 0.000 0.500 0.500 (multiplicity 2)
3 C 0.000 0.000 0.500 (multiplicity 1)
4 O 0.500 0.500 0.000 (multiplicity 1)

## Properties
**Total energy**: -2.889 eV/atom
**Raw formation energy**: 2.7 eV/f.u.

# 3
ReAg2Hg | GGA-PBE | optimized geometry

Cell: 4.049 4.049 4.327 Å, 90.00 90.00 90.00°
Space group P4/mmm (No. 123)
Unique sites:
1 Re 0.000 0.000 0.000 (multiplicity 1)
2 Ag 0.000 0.500 0.500 (multiplicity 2)
3 Hg 0.500 0.500 0.000 (multiplicity 1)

## Properties
**Total energy**: -3.786 eV/atom
**E_form**: 827 meV/atom